[1]
First-principles (PBE) data for a relaxed Tb15CePr4 crystal, as listed in Alexandria. Values from VASP.

Summary:
DFT formation energy   0.6 eV per formula unit
Crystal system   tetragonal

Structure (Quantum ESPRESSO input):
```
&SYSTEM
  ibrav = 0, nat = 20, ntyp = 3
/
ATOMIC_SPECIES
Tb 158.93 Tb.upf
Ce 140.12 Ce.upf
Pr 140.91 Pr.upf
ATOMIC_POSITIONS crystal
Tb 0.500 0.500 0.399
Tb 0.500 0.000 0.701
Tb 0.500 0.500 0.199
Tb 0.500 0.000 0.500
Tb 0.000 0.500 0.299
Tb 0.000 0.500 0.097
Tb 0.500 0.000 0.299
Tb 0.500 0.500 0.801
Tb 0.500 0.000 0.903
Tb 0.500 0.000 0.097
Tb 0.000 0.500 0.500
Tb 0.500 0.500 0.601
Tb 0.000 0.500 0.903
Tb 0.000 0.500 0.701
Tb 0.500 0.500 0.000
Ce 0.000 0.000 0.000
Pr 0.000 0.000 0.399
Pr 0.000 0.000 0.802
Pr 0.000 0.000 0.198
Pr 0.000 0.000 0.601
CELL_PARAMETERS angstrom
5.087 0.000 0.000
0.000 5.087 0.000
0.000 0.000 25.301
```

[2]
First-principles (PBE) data for a relaxed BeCrNi crystal, as listed in Alexandria. Values from VASP.

Summary:
DFT formation energy   0.0 eV per formula unit
Relative energy among the computed polymorphs   0.1556 eV/atom
Crystal system   monoclinic

Structure (Quantum ESPRESSO input):
```
&SYSTEM
  ibrav = 0, nat = 6, ntyp = 3
/
ATOMIC_SPECIES
Ni 58.69 Ni.upf
Cr 52.00 Cr.upf
Be 9.01 Be.upf
ATOMIC_POSITIONS crystal
Ni 0.139 0.279 0.601
Ni 0.861 0.721 0.399
Cr 0.620 0.239 0.920
Cr 0.380 0.761 0.080
Be 0.876 0.752 0.745
Be 0.124 0.248 0.255
CELL_PARAMETERS angstrom
2.399 0.000 0.000
-1.199 3.893 0.221
0.000 -0.828 6.639
```

[3]
First-principles (PBE) data for a relaxed Ba4Y2Cu6O13 crystal, as listed in Alexandria. Values from VASP.

Summary:
Formation energy from raw total energies   -177.4 kJ per mole of atoms
Crystal system   orthorhombic

Structure (Quantum ESPRESSO input):
```
&SYSTEM
  ibrav = 0, nat = 25, ntyp = 4
/
ATOMIC_SPECIES
Cu 63.55 Cu.upf
O 16.00 O.upf
Y 88.91 Y.upf
Ba 137.33 Ba.upf
ATOMIC_POSITIONS crystal
Cu 0.065 0.568 0.432
Cu 0.432 0.935 0.065
Cu 0.935 0.432 0.568
Cu 0.742 0.258 0.742
Cu 0.568 0.065 0.935
Cu 0.258 0.742 0.258
O 0.690 0.690 0.810
O 0.310 0.310 0.190
O 0.190 0.190 0.310
O 0.302 0.848 0.152
O 0.848 0.302 0.698
O 0.312 0.312 0.688
O 0.809 0.809 0.191
O 0.688 0.688 0.312
O 0.698 0.152 0.848
O 0.152 0.698 0.302
O 0.500 0.500 0.500
O 0.810 0.810 0.690
O 0.191 0.191 0.809
Y 0.500 0.000 0.500
Y 0.000 0.500 0.000
Ba 0.838 0.354 0.162
Ba 0.162 0.646 0.838
Ba 0.354 0.838 0.646
Ba 0.646 0.162 0.354
CELL_PARAMETERS angstrom
12.675 0.012 -0.013
11.453 5.381 0.003
1.222 0.164 5.367
```

[4]
First-principles (PBE) data for a relaxed Sm4P crystal, as listed in Alexandria. Values from VASP.

Summary:
DFT formation energy   -2.0 eV per formula unit
Crystal system   cubic

Structure (Quantum ESPRESSO input):
```
&SYSTEM
  ibrav = 0, nat = 5, ntyp = 2
/
ATOMIC_SPECIES
Sm 150.36 Sm.upf
P 30.97 P.upf
ATOMIC_POSITIONS crystal
Sm 0.500 0.000 0.500
Sm 0.000 0.500 0.500
Sm 0.000 0.000 0.000
Sm 0.500 0.500 0.000
P 0.500 0.500 0.500
CELL_PARAMETERS angstrom
5.520 0.000 0.000
0.000 5.520 0.000
0.000 0.000 5.520
```

[5]
First-principles (PBE) data for a relaxed Rb2ZnRuCl6 crystal, as listed in Alexandria. Values from VASP.

Summary:
Formation energy from raw total energies   -103.8 kJ per mole of atoms
Crystal system   tetragonal

Structure (Quantum ESPRESSO input):
```
&SYSTEM
  ibrav = 0, nat = 10, ntyp = 4
/
ATOMIC_SPECIES
Cl 35.45 Cl.upf
Rb 85.47 Rb.upf
Ru 101.07 Ru.upf
Zn 65.41 Zn.upf
ATOMIC_POSITIONS crystal
Cl 0.235 0.235 0.000
Cl 0.259 0.259 0.482
Cl 0.235 0.765 0.000
Cl 0.765 0.765 0.000
Cl 0.765 0.235 0.000
Cl 0.741 0.741 0.518
Rb 0.250 0.750 0.500
Rb 0.750 0.250 0.500
Ru 0.000 0.000 0.000
Zn 0.500 0.500 0.000
CELL_PARAMETERS angstrom
7.339 0.000 0.000
0.000 7.339 0.000
3.669 3.669 4.547
```

[6]
First-principles (PBE) data for a relaxed KY2Tc crystal, as listed in Alexandria. Values from VASP.

Summary:
DFT formation energy   2.6 eV per formula unit
Relative energy among the computed polymorphs   0.5268 eV/atom
Crystal system   tetragonal

Structure (Quantum ESPRESSO input):
```
&SYSTEM
  ibrav = 0, nat = 8, ntyp = 3
/
ATOMIC_SPECIES
Tc 98.00 Tc.upf
K 39.10 K.upf
Y 88.91 Y.upf
ATOMIC_POSITIONS crystal
Tc 0.750 0.250 0.500
Tc 0.000 0.000 0.000
K 0.250 0.750 0.500
K 0.500 0.500 0.000
Y 0.876 0.625 0.250
Y 0.874 0.125 0.250
Y 0.375 0.126 0.750
Y 0.875 0.124 0.750
CELL_PARAMETERS angstrom
8.163 0.000 0.000
0.000 8.163 0.000
4.082 4.082 5.778
```

[7]
First-principles (PBE) data for a relaxed LiY2Cl crystal, as listed in Alexandria. Values from VASP.

Summary:
Formation energy from raw total energies   -49.7 kJ per mole of atoms
Relative energy among the computed polymorphs   0.1241 eV/atom
Crystal system   tetragonal

Structure (Quantum ESPRESSO input):
```
&SYSTEM
  ibrav = 0, nat = 4, ntyp = 3
/
ATOMIC_SPECIES
Li 6.94 Li.upf
Cl 35.45 Cl.upf
Y 88.91 Y.upf
ATOMIC_POSITIONS crystal
Li 0.500 0.500 0.875
Cl 0.000 0.501 0.375
Y 0.500 0.499 0.375
Y 0.000 0.001 0.875
CELL_PARAMETERS angstrom
5.469 0.000 0.000
0.000 3.509 0.011
0.000 3.489 5.478
```

[8]
First-principles (PBE) data for a relaxed Hf12Bi5Te2 crystal, as listed in Alexandria. Values from VASP.

Summary:
Formation energy from raw total energies   6.3 kJ per mole of atoms
Crystal system   monoclinic

Structure (Quantum ESPRESSO input):
```
&SYSTEM
  ibrav = 0, nat = 19, ntyp = 3
/
ATOMIC_SPECIES
Bi 208.98 Bi.upf
Hf 178.49 Hf.upf
Te 127.60 Te.upf
ATOMIC_POSITIONS crystal
Bi 0.732 0.465 0.153
Bi 0.273 0.545 0.318
Bi 0.727 0.455 0.682
Bi 0.000 0.000 0.500
Bi 0.268 0.535 0.847
Hf 0.958 0.268 0.151
Hf 0.485 0.969 0.690
Hf 0.310 0.268 0.151
Hf 0.839 0.254 0.486
Hf 0.515 0.031 0.310
Hf 0.690 0.732 0.849
Hf 0.161 0.746 0.514
Hf 0.415 0.254 0.486
Hf 0.067 0.135 0.816
Hf 0.585 0.746 0.514
Hf 0.933 0.865 0.184
Hf 0.042 0.732 0.849
Te 0.701 0.000 0.000
Te 0.299 0.000 0.000
CELL_PARAMETERS angstrom
8.509 0.000 0.000
-4.255 6.667 2.265
0.000 -0.161 8.547
```

[9]
First-principles (PBE) data for a relaxed Cd4Ag2Au3 crystal, as listed in Alexandria. Values from VASP.

Summary:
DFT formation energy   -1.2 eV per formula unit
Relative energy among the computed polymorphs   0.0000 eV/atom
Crystal system   triclinic

Structure (Quantum ESPRESSO input):
```
&SYSTEM
  ibrav = 0, nat = 9, ntyp = 3
/
ATOMIC_SPECIES
Cd 112.41 Cd.upf
Au 196.97 Au.upf
Ag 107.87 Ag.upf
ATOMIC_POSITIONS crystal
Cd 0.011 0.979 0.335
Cd 0.989 0.021 0.665
Cd 0.337 0.326 0.110
Cd 0.663 0.674 0.890
Au 0.336 0.327 0.441
Au 0.000 0.000 0.000
Au 0.664 0.673 0.559
Ag 0.674 0.651 0.226
Ag 0.326 0.349 0.774
CELL_PARAMETERS angstrom
-1.591 -2.497 -3.195
-3.330 -3.546 1.444
-7.726 4.538 0.450
```

[10]
First-principles (PBE) data for a relaxed BeCuRu2 crystal, as listed in Alexandria. Values from VASP.

Summary:
DFT formation energy   -0.2 eV per formula unit
Crystal system   tetragonal

Structure (Quantum ESPRESSO input):
```
&SYSTEM
  ibrav = 0, nat = 4, ntyp = 3
/
ATOMIC_SPECIES
Be 9.01 Be.upf
Cu 63.55 Cu.upf
Ru 101.07 Ru.upf
ATOMIC_POSITIONS crystal
Be 0.000 0.000 0.510
Cu 0.500 0.500 0.710
Ru 0.000 0.000 0.004
Ru 0.500 0.500 0.276
CELL_PARAMETERS angstrom
-2.479 -0.861 0.783
0.790 0.108 2.620
-1.998 6.070 0.353
```

[11]
First-principles (PBE) data for a relaxed AgPd5Pt crystal, as listed in Alexandria. Values from VASP.

Summary:
DFT formation energy   1.0 eV per formula unit
Relative energy among the computed polymorphs   0.0000 eV/atom
Crystal system   tetragonal

Structure (Quantum ESPRESSO input):
```
&SYSTEM
  ibrav = 0, nat = 7, ntyp = 3
/
ATOMIC_SPECIES
Pd 106.42 Pd.upf
Pt 195.08 Pt.upf
Ag 107.87 Ag.upf
ATOMIC_POSITIONS crystal
Pd 0.000 0.500 0.271
Pd 0.500 0.000 0.729
Pd 0.000 0.500 0.729
Pd 0.500 0.000 0.271
Pd 0.500 0.500 0.000
Pt 0.000 0.000 0.500
Ag 0.000 0.000 0.000
CELL_PARAMETERS angstrom
-1.745 1.355 3.256
-3.162 -2.210 -0.774
3.039 -5.758 4.026
```

[12]
First-principles (PBE) data for a relaxed MgCr3Pd crystal, as listed in Alexandria. Values from VASP.

Summary:
DFT formation energy   5.7 eV per formula unit
Relative energy among the computed polymorphs   0.0000 eV/atom
Crystal system   cubic

Structure (Quantum ESPRESSO input):
```
&SYSTEM
  ibrav = 0, nat = 5, ntyp = 3
/
ATOMIC_SPECIES
Cr 52.00 Cr.upf
Mg 24.30 Mg.upf
Pd 106.42 Pd.upf
ATOMIC_POSITIONS crystal
Cr 0.500 0.000 0.000
Cr 0.000 0.500 0.000
Cr 0.000 0.000 0.500
Mg 0.500 0.500 0.500
Pd 0.000 0.000 0.000
CELL_PARAMETERS angstrom
-4.862 -0.099 0.506
-0.192 -4.103 -2.652
0.478 -2.657 4.076
```

[13]
First-principles (PBE) data for a relaxed LiYF4 crystal, as listed in Alexandria. Values from VASP.

Summary:
Formation energy from raw total energies   -360.6 kJ per mole of atoms
Relative energy among the computed polymorphs   0.0195 eV/atom
Crystal system   monoclinic

Structure (Quantum ESPRESSO input):
```
&SYSTEM
  ibrav = 0, nat = 12, ntyp = 3
/
ATOMIC_SPECIES
Li 6.94 Li.upf
Y 88.91 Y.upf
F 19.00 F.upf
ATOMIC_POSITIONS crystal
Li 0.248 0.000 0.250
Li 0.752 0.000 0.750
Y 0.250 0.500 0.750
Y 0.750 0.500 0.250
F 0.936 0.263 0.937
F 0.064 0.263 0.437
F 0.936 0.737 0.563
F 0.436 0.737 0.435
F 0.564 0.737 0.935
F 0.064 0.737 0.063
F 0.564 0.263 0.565
F 0.436 0.263 0.065
CELL_PARAMETERS angstrom
5.354 0.000 0.000
0.000 5.124 -0.178
0.000 0.211 5.354
```

[14]
First-principles (PBE) data for a relaxed Zr3AgAs crystal, as listed in Alexandria. Values from VASP.

Summary:
DFT formation energy   0.5 eV per formula unit
Relative energy among the computed polymorphs   0.0000 eV/atom
Crystal system   cubic

Structure (Quantum ESPRESSO input):
```
&SYSTEM
  ibrav = 0, nat = 5, ntyp = 3
/
ATOMIC_SPECIES
Zr 91.22 Zr.upf
Ag 107.87 Ag.upf
As 74.92 As.upf
ATOMIC_POSITIONS crystal
Zr 0.000 0.000 0.500
Zr 0.000 0.500 0.000
Zr 0.500 0.000 0.000
Ag 0.500 0.500 0.500
As 0.000 0.000 0.000
CELL_PARAMETERS angstrom
5.000 0.000 0.000
0.000 5.000 0.000
0.000 0.000 5.000
```

[15]
First-principles (PBE) data for a relaxed Sc2Cd crystal, as listed in Alexandria. Values from VASP.

Summary:
DFT formation energy   0.5 eV per formula unit
Crystal system   cubic

Structure (Quantum ESPRESSO input):
```
&SYSTEM
  ibrav = 0, nat = 3, ntyp = 2
/
ATOMIC_SPECIES
Sc 44.96 Sc.upf
Cd 112.41 Cd.upf
ATOMIC_POSITIONS crystal
Sc 0.250 0.750 0.500
Sc 0.750 0.250 0.500
Cd 0.000 0.000 0.000
CELL_PARAMETERS angstrom
4.830 0.000 0.000
0.000 4.831 0.000
-2.415 -2.416 3.422
```

[16]
First-principles (PBE) data for a relaxed NaTc2Mo crystal, as listed in Alexandria. Values from VASP.

Summary:
DFT formation energy   3.0 eV per formula unit
Relative energy among the computed polymorphs   0.0000 eV/atom
Crystal system   cubic

Structure (Quantum ESPRESSO input):
```
&SYSTEM
  ibrav = 0, nat = 4, ntyp = 3
/
ATOMIC_SPECIES
Na 22.99 Na.upf
Tc 98.00 Tc.upf
Mo 95.94 Mo.upf
ATOMIC_POSITIONS crystal
Na 0.000 0.000 0.000
Tc 0.750 0.750 0.750
Tc 0.250 0.250 0.250
Mo 0.500 0.500 0.500
CELL_PARAMETERS angstrom
0.000 3.141 3.141
3.141 0.000 3.141
3.141 3.141 0.000
```

[17]
First-principles (PBE) data for a relaxed TmHf2Ga crystal, as listed in Alexandria. Values from VASP.

Summary:
DFT formation energy   -1.1 eV per formula unit
Relative energy among the computed polymorphs   0.0000 eV/atom
Crystal system   monoclinic

Structure (Quantum ESPRESSO input):
```
&SYSTEM
  ibrav = 0, nat = 8, ntyp = 3
/
ATOMIC_SPECIES
Tm 168.93 Tm.upf
Hf 178.49 Hf.upf
Ga 69.72 Ga.upf
ATOMIC_POSITIONS crystal
Tm 0.250 0.307 0.614
Tm 0.750 0.693 0.386
Hf 0.750 0.054 0.109
Hf 0.250 0.946 0.891
Hf 0.250 0.555 0.111
Hf 0.750 0.445 0.889
Ga 0.750 0.842 0.684
Ga 0.250 0.158 0.316
CELL_PARAMETERS angstrom
-4.100 -1.333 -0.282
1.343 -3.863 -1.262
-0.350 -1.083 10.202
```

[18]
First-principles (PBE) data for a relaxed Dy3Ge2O crystal, as listed in Alexandria. Values from VASP.

Summary:
Formation energy from raw total energies   -134.3 kJ per mole of atoms
Crystal system   orthorhombic

Structure (Quantum ESPRESSO input):
```
&SYSTEM
  ibrav = 0, nat = 12, ntyp = 3
/
ATOMIC_SPECIES
O 16.00 O.upf
Ge 72.64 Ge.upf
Dy 162.50 Dy.upf
ATOMIC_POSITIONS crystal
O 0.035 0.800 0.800
O 0.535 0.200 0.200
Ge 0.535 0.602 0.822
Ge 0.035 0.398 0.178
Ge 0.535 0.822 0.602
Ge 0.035 0.178 0.398
Dy 0.785 0.000 0.000
Dy 0.035 0.814 0.487
Dy 0.535 0.186 0.513
Dy 0.035 0.487 0.814
Dy 0.535 0.513 0.186
Dy 0.285 0.000 0.000
CELL_PARAMETERS angstrom
6.433 0.000 0.000
0.000 6.920 0.436
0.000 -3.010 6.247
```

[19]
First-principles (PBE) data for a relaxed Sb2AsRh crystal, as listed in Alexandria. Values from VASP.

Summary:
Formation energy from raw total energies   -15.6 kJ per mole of atoms
Crystal system   orthorhombic

Structure (Quantum ESPRESSO input):
```
&SYSTEM
  ibrav = 0, nat = 4, ntyp = 3
/
ATOMIC_SPECIES
Sb 121.76 Sb.upf
As 74.92 As.upf
Rh 102.91 Rh.upf
ATOMIC_POSITIONS crystal
Sb 0.000 0.964 0.964
Sb 0.500 0.242 0.242
As 0.000 0.552 0.552
Rh 0.500 0.741 0.741
CELL_PARAMETERS angstrom
-0.168 1.005 3.042
4.877 -2.659 1.148
5.056 2.511 -0.550
```

[20]
First-principles (PBE) data for a relaxed CaCuOsPb2 crystal, as listed in Alexandria. Values from VASP.

Summary:
DFT formation energy   8.8 eV per formula unit
Crystal system   tetragonal

Structure (Quantum ESPRESSO input):
```
&SYSTEM
  ibrav = 0, nat = 5, ntyp = 4
/
ATOMIC_SPECIES
Ca 40.08 Ca.upf
Pb 207.20 Pb.upf
Cu 63.55 Cu.upf
Os 190.23 Os.upf
ATOMIC_POSITIONS crystal
Ca 0.000 0.000 0.000
Pb 0.000 0.000 0.500
Pb 0.500 0.000 0.000
Cu 0.500 0.500 0.500
Os 0.000 0.500 0.000
CELL_PARAMETERS angstrom
5.769 0.000 0.000
0.000 4.852 0.000
0.000 0.000 5.769
```

[21]
First-principles (PBE) data for a relaxed Zr2Ni6Sn crystal, as listed in Alexandria. Values from VASP.

Summary:
DFT formation energy   -3.0 eV per formula unit
Crystal system   trigonal

Structure (Quantum ESPRESSO input):
```
&SYSTEM
  ibrav = 0, nat = 9, ntyp = 3
/
ATOMIC_SPECIES
Ni 58.69 Ni.upf
Zr 91.22 Zr.upf
Sn 118.71 Sn.upf
ATOMIC_POSITIONS crystal
Ni 0.840 0.821 0.179
Ni 0.160 0.179 0.821
Ni 0.840 0.358 0.179
Ni 0.160 0.642 0.821
Ni 0.160 0.179 0.358
Ni 0.840 0.821 0.642
Zr 0.680 0.333 0.667
Zr 0.320 0.667 0.333
Sn 0.500 0.000 0.000
CELL_PARAMETERS angstrom
5.673 0.000 0.000
0.000 4.477 -2.585
0.000 0.000 5.170
```

[22]
First-principles (PBE) data for a relaxed SrCu2P crystal, as listed in Alexandria. Values from VASP.

Summary:
DFT formation energy   -1.4 eV per formula unit
Crystal system   trigonal

Structure (Quantum ESPRESSO input):
```
&SYSTEM
  ibrav = 0, nat = 4, ntyp = 3
/
ATOMIC_SPECIES
P 30.97 P.upf
Sr 87.62 Sr.upf
Cu 63.55 Cu.upf
ATOMIC_POSITIONS crystal
P 0.552 0.552 0.343
Sr 0.753 0.753 0.741
Cu 0.245 0.245 0.265
Cu 0.949 0.949 0.152
CELL_PARAMETERS angstrom
4.095 0.003 -0.014
2.046 3.548 -0.014
2.059 1.191 5.341
```

[23]
First-principles (PBE) data for a relaxed Pr4Ho3Er crystal, as listed in Alexandria. Values from VASP.

Summary:
DFT formation energy   1.5 eV per formula unit
Relative energy among the computed polymorphs   0.1565 eV/atom
Crystal system   orthorhombic

Structure (Quantum ESPRESSO input):
```
&SYSTEM
  ibrav = 0, nat = 8, ntyp = 3
/
ATOMIC_SPECIES
Ho 164.93 Ho.upf
Pr 140.91 Pr.upf
Er 167.26 Er.upf
ATOMIC_POSITIONS crystal
Ho 0.000 0.500 0.000
Ho 0.851 0.000 0.703
Ho 0.149 0.000 0.297
Pr 0.722 0.501 0.445
Pr 0.601 0.500 0.203
Pr 0.278 0.499 0.555
Pr 0.399 0.500 0.797
Er 0.500 0.000 0.000
CELL_PARAMETERS angstrom
5.598 0.000 -1.116
-0.077 3.660 -0.385
-0.266 1.386 13.264
```